Material: SrLaTe2
Method: DFT, PBE
State: relaxed

extended XYZ file:
```
4
Lattice="2.351 1.357 9.927 -2.351 1.357 9.927 0.000 -2.714 9.927" Properties=species:S:1:pos:R:3 pbc="T T T"
Sr 0.000 0.000 0.000
La 0.000 0.000 14.890
Te 0.000 0.000 3.208
Te 0.000 0.000 26.572
```

Computed properties:
Calculated volume in Å³/atom: 47.5
ΔE_f (raw) in eV per formula unit: -4.91
Energy above the lowest structure with this stoichiometry in eV per atom: 0.432
Total moment in μB per atom: 0.00



Material: LiCaErHg
Method: DFT, PBE
State: relaxed

extended XYZ file:
```
4
Lattice="0.000 3.714 3.714 3.714 0.000 3.714 3.714 3.714 0.000" Properties=species:S:1:pos:R:3 pbc="T T T"
Li 0.000 0.000 0.000
Ca 1.857 1.857 1.857
Er 5.571 5.571 5.571
Hg 3.714 3.714 3.714
```

Computed properties:
Calculated volume in Å³/atom: 25.6
Total moment in μB per atom: 0.00
Energy of formation from the pure elements in meV per atom: -237



Material: Sm6Ge2P3Cl
Method: DFT, PBE
State: relaxed

extended XYZ file:
```
12
Lattice="9.067 -2.046 0.000 9.067 2.046 0.000 -1.979 0.000 8.187" Properties=species:S:1:pos:R:3 pbc="T T T"
Sm -0.442 0.000 1.897
Sm 5.132 0.000 3.443
Sm 4.267 0.000 7.454
Sm 11.889 0.000 0.733
Sm 11.024 0.000 4.744
Sm 16.598 0.000 6.290
Ge 1.347 0.000 6.789
Ge 14.809 0.000 1.397
P 2.306 0.000 2.744
P 9.067 0.000 0.000
P 13.850 0.000 5.443
Cl 8.078 0.000 4.093
```

Computed properties:
Calculated volume in Å³/atom: 25.3
ΔE_f (raw) in eV per formula unit: -16.22
Total moment in μB per atom: 0.00



Material: As2SeCl
Method: DFT, PBE
State: relaxed

extended XYZ file:
```
4
Lattice="3.715 -4.060 0.000 3.715 4.060 0.000 -0.028 0.000 2.915" Properties=species:S:1:pos:R:3 pbc="T T T"
As 1.857 2.030 0.000
As 1.857 -2.030 0.000
Se 0.000 0.000 0.000
Cl 3.715 0.000 0.000
```

Computed properties:
Calculated volume in Å³/atom: 22.0
ΔE_f (raw) in eV per formula unit: 0.66
Energy above the lowest structure with this stoichiometry in eV per atom: 0.297
Total moment in μB per atom: 0.00



Material: SrPtW
Method: DFT, PBE
State: relaxed

extended XYZ file:
```
6
Lattice="4.476 0.000 0.000 0.000 4.143 0.000 -0.560 0.000 7.820" Properties=species:S:1:pos:R:3 pbc="T T T"
Sr 0.881 1.036 2.749
Sr 3.034 3.107 5.071
Pt 0.933 1.036 6.306
Pt 2.983 3.107 1.514
W 0.853 3.107 0.026
W 3.063 1.036 7.794
```

Computed properties:
Calculated volume in Å³/atom: 24.2
Energy above the lowest structure with this stoichiometry in eV per atom: 0.006
Total moment in μB per atom: 0.00
Energy of formation from the pure elements in meV per atom: -21



Material: Sc3BiS
Method: DFT, PBE
State: relaxed

extended XYZ file:
```
20
Lattice="8.421 0.000 0.000 0.000 6.264 0.000 -3.745 0.000 8.739" Properties=species:S:1:pos:R:3 pbc="T T T"
Sc -0.944 0.634 2.920
Sc -2.816 2.498 7.290
Sc -0.355 3.528 4.665
Sc 1.518 5.868 0.296
Sc 0.205 1.110 7.084
Sc 2.078 2.022 2.714
Sc 2.598 4.242 6.025
Sc 4.471 5.154 1.655
Sc 3.158 0.396 8.444
Sc 5.030 2.736 4.074
Sc 7.492 3.766 1.449
Sc 5.619 5.630 5.819
Bi -0.176 4.342 7.479
Bi 1.697 5.054 3.110
Bi 2.979 1.210 5.630
Bi 4.851 1.922 1.260
S -1.558 1.464 5.270
S 0.314 1.668 0.900
S 4.361 4.596 7.839
S 6.234 4.800 3.470
```

Computed properties:
Calculated volume in Å³/atom: 23.0
ΔE_f (raw) in eV per formula unit: -4.86
Energy above the lowest structure with this stoichiometry in eV per atom: 0.000
Total moment in μB per atom: 0.00



Material: Hf2CuB2Ru5
Method: DFT, PBE
State: relaxed

extended XYZ file:
```
20
Lattice="9.295 0.000 0.000 0.000 9.295 0.000 0.000 0.000 3.077" Properties=species:S:1:pos:R:3 pbc="T T T"
Hf 1.632 3.015 0.000
Hf 3.015 7.663 0.000
Hf 6.280 1.632 0.000
Hf 7.663 6.280 0.000
Cu 0.000 0.000 0.000
Cu 4.648 4.648 0.000
B 1.164 5.812 0.000
B 3.483 1.164 0.000
B 5.812 8.131 0.000
B 8.131 3.483 0.000
Ru 0.000 4.648 1.539
Ru 0.668 7.310 1.539
Ru 1.985 0.668 1.539
Ru 2.662 5.315 1.539
Ru 3.980 2.662 1.539
Ru 4.648 0.000 1.539
Ru 5.315 6.633 1.539
Ru 6.633 3.980 1.539
Ru 7.310 8.627 1.539
Ru 8.627 1.985 1.539
```

Computed properties:
Calculated volume in Å³/atom: 13.3
Total moment in μB per atom: 0.00
Energy of formation from the pure elements in meV per atom: -493



Material: NbSn2Rh
Method: DFT, PBE
State: relaxed

extended XYZ file:
```
4
Lattice="4.758 0.000 0.000 0.000 4.758 0.000 0.000 0.000 3.297" Properties=species:S:1:pos:R:3 pbc="T T T"
Nb 0.000 0.000 0.000
Sn 0.000 2.379 1.649
Sn 2.379 0.000 1.649
Rh 2.379 2.379 0.000
```

Computed properties:
Calculated volume in Å³/atom: 18.7
Total moment in μB per atom: 0.00
Energy of formation from the pure elements in meV per atom: -185